No. 1
The following is a DFT calculation (PBE-GGA) of a geometry-optimized CaNdInRh structure.

CIF file:
```
data_CaNdInRh
_chemical_formula_sum 'Ca4 Nd4 In4 Rh4'
_cell_length_a 7.3415
_cell_length_b 7.3415
_cell_length_c 7.3415
_cell_angle_alpha 90.00
_cell_angle_beta 90.00
_cell_angle_gamma 90.00
_space_group_name_H-M_alt 'F -4 3 m'
_space_group_IT_number 216
_space_group_name_Hall 'F -4 2 3'
loop_
_atom_site_label
_atom_site_type_symbol
_atom_site_fract_x
_atom_site_fract_y
_atom_site_fract_z
_atom_site_occupancy
Ca1 Ca 0.0000 0.0000 0.0000 1
Nd1 Nd 0.0000 0.0000 0.5000 1
In1 In 0.2500 0.2500 0.7500 1
Rh1 Rh 0.2500 0.2500 0.2500 1
```

Calculated values
The calculation puts the total energy at -4.621 eV/atom. For the formation energy, the calculation gives -39 kJ per mole of atoms.


No. 2
The following is a DFT calculation (PBE-GGA) of a geometry-optimized Dy5Er4In4 structure.

CIF file:
```
data_Dy5Er4In4
_chemical_formula_sum 'Dy10 Er8 In8'
_cell_length_a 12.1512
_cell_length_b 12.1512
_cell_length_c 5.0557
_cell_angle_alpha 90.00
_cell_angle_beta 90.00
_cell_angle_gamma 90.00
_space_group_name_H-M_alt 'I 4/m'
_space_group_IT_number 87
_space_group_name_Hall '-I 4'
loop_
_atom_site_label
_atom_site_type_symbol
_atom_site_fract_x
_atom_site_fract_y
_atom_site_fract_z
_atom_site_occupancy
Dy1 Dy 0.0000 0.0000 0.0000 1
Dy2 Dy 0.0962 0.1871 0.5000 1
Er1 Er 0.0972 0.3931 0.0000 1
In1 In 0.1072 0.7649 0.0000 1
```

Calculated values
The calculation puts the total energy at -4.338 eV/atom. For the formation energy, the calculation gives -31 kJ per mole of atoms.


No. 3
The following is a DFT calculation (PBE-GGA) of a geometry-optimized MnSi2Au structure.

CIF file:
```
data_MnSi2Au
_chemical_formula_sum 'Mn2 Si4 Au2'
_cell_length_a 8.1508
_cell_length_b 3.1681
_cell_length_c 4.5480
_cell_angle_alpha 90.00
_cell_angle_beta 105.49
_cell_angle_gamma 90.00
_space_group_name_H-M_alt 'C 1 m 1'
_space_group_IT_number 8
_space_group_name_Hall 'C -2y'
loop_
_atom_site_label
_atom_site_type_symbol
_atom_site_fract_x
_atom_site_fract_y
_atom_site_fract_z
_atom_site_occupancy
Mn1 Mn 0.0000 0.0000 0.0000 1
Si1 Si 0.0235 0.5000 0.6295 1
Si2 Si 0.2803 0.0000 0.9553 1
Au1 Au 0.2658 0.5000 0.4029 1
```

Calculated values
The calculation puts the energy above the most stable polymorph in this dataset at 0.130 eV per atom. The raw formation energy is -0.0126 eV per atom. The calculation puts the total energy at -5.836 eV/atom.


No. 4
The following is a DFT calculation (PBE-GGA) of a geometry-optimized Ni4TeMo structure.

CIF file:
```
data_Ni4TeMo
_chemical_formula_sum 'Ni16 Te4 Mo4'
_cell_length_a 6.8328
_cell_length_b 6.8328
_cell_length_c 6.8328
_cell_angle_alpha 90.00
_cell_angle_beta 90.00
_cell_angle_gamma 90.00
_space_group_name_H-M_alt 'F -4 3 m'
_space_group_IT_number 216
_space_group_name_Hall 'F -4 2 3'
loop_
_atom_site_label
_atom_site_type_symbol
_atom_site_fract_x
_atom_site_fract_y
_atom_site_fract_z
_atom_site_occupancy
Ni1 Ni 0.1239 0.1239 0.3761 1
Te1 Te 0.0000 0.0000 0.0000 1
Mo1 Mo 0.2500 0.2500 0.7500 1
```

Calculated values
The raw formation energy is 0.2106 eV per atom. The calculation puts the total energy at -5.972 eV/atom.


No. 5
The following is a DFT calculation (PBE-GGA) of a geometry-optimized Sm5MgSn5 structure.

CIF file:
```
data_Sm5MgSn5
_chemical_formula_sum 'Sm10 Mg2 Sn10'
_cell_length_a 12.0259
_cell_length_b 6.2862
_cell_length_c 10.3149
_cell_angle_alpha 90.00
_cell_angle_beta 115.12
_cell_angle_gamma 90.00
_space_group_name_H-M_alt 'C 1 2/m 1'
_space_group_IT_number 12
_space_group_name_Hall '-C 2y'
loop_
_atom_site_label
_atom_site_type_symbol
_atom_site_fract_x
_atom_site_fract_y
_atom_site_fract_z
_atom_site_occupancy
Sm1 Sm 0.0000 0.0000 0.0000 1
Sm2 Sm 0.1676 0.5000 0.8382 1
Sm3 Sm 0.1798 0.5000 0.3416 1
Mg1 Mg 0.0000 0.0000 0.5000 1
Sn1 Sn 0.0000 0.5000 0.5000 1
Sn2 Sn 0.1497 0.0000 0.8211 1
Sn3 Sn 0.1552 0.0000 0.3274 1
```

Calculated values
The calculation puts the total energy at -4.461 eV/atom. For the formation energy, the calculation gives -34 kJ per mole of atoms.